DFT (SCAN) results for a PBEsol-optimized structure of YBiO3.

Output
Its magnetic moment is 0.00 μB/cell. The formation energy (no corrections) is -239.7 kJ/mol of atoms. For the total energy, the calculation gives -27.507 eV/atom. Its density of states at the Fermi level is 0.00 states/eV/f.u.

POSCAR file:
```
YBiO3
1.0
-0.006 -5.009 3.242
5.069 -3.046 0.793
2.630 -0.059 5.404
Y Bi O
2 2 6
Cartesian
5.460 -6.949 5.744 Y
2.233 -1.165 3.695 Y
3.449 -5.164 3.008 Bi
4.244 -2.950 6.431 Bi
3.399 -2.759 2.457 O
1.739 -5.657 4.717 O
5.681 -5.768 3.873 O
2.013 -2.347 5.566 O
5.955 -2.457 4.722 O
4.295 -5.355 6.982 O
```

DFT (SCAN) results for a PBEsol-optimized structure of YBi12O20.

Output
Its magnetic moment is 0.00 μB/cell. The formation energy (no corrections) is -123.5 kJ/mol of atoms. For the total energy, the calculation gives -34.474 eV/atom. Its density of states at the Fermi level is 16.91 states/eV/f.u.

POSCAR file:
```
YBi12O20
1.0
8.757 0.000 0.000
-2.919 8.256 0.000
-2.919 -4.128 7.150
Y Bi O
1 12 20
Cartesian
0.000 0.000 0.000 Y
-0.852 2.728 2.297 Bi
-2.046 -0.790 5.910 Bi
0.042 2.207 5.936 Bi
2.961 -2.116 6.093 Bi
0.873 -0.595 3.511 Bi
-2.982 4.234 4.853 Bi
5.880 -0.091 2.271 Bi
-0.063 6.214 1.057 Bi
2.067 4.753 3.639 Bi
4.986 4.903 1.214 Bi
2.856 1.936 1.240 Bi
3.792 1.385 4.879 Bi
0.958 1.355 2.347 O
-0.766 0.387 4.391 O
2.190 3.097 5.365 O
-0.594 3.544 4.440 O
-2.299 4.750 2.710 O
-0.729 -1.031 1.785 O
-0.729 2.061 0.000 O
-2.179 1.696 6.301 O
5.883 0.000 0.000 O
2.325 6.201 1.860 O
0.620 4.100 1.682 O
2.153 0.131 5.289 O
0.740 -2.176 5.468 O
-1.961 -2.773 4.803 O
-1.961 5.546 0.000 O
5.244 2.639 0.849 O
2.186 0.000 0.000 O
3.659 0.481 2.531 O
5.072 -0.518 4.619 O
3.539 3.535 2.758 O
```

DFT (SCAN) results for a PBEsol-optimized structure of Y2Bi2O7.

Output
Its magnetic moment is 0.00 μB/cell. The formation energy (no corrections) is -219.2 kJ/mol of atoms. For the total energy, the calculation gives -25.587 eV/atom.

POSCAR file:
```
Y2Bi2O7
1.0
5.539 0.000 0.000
0.000 8.376 0.092
0.000 -2.140 13.625
Y Bi O
8 8 28
Cartesian
0.957 6.378 6.317 Y
4.005 5.577 0.729 Y
1.651 3.936 11.649 Y
4.045 4.766 8.642 Y
1.275 1.470 5.075 Y
4.421 2.300 2.068 Y
1.235 0.658 12.988 Y
3.727 -0.143 7.400 Y
1.344 6.806 9.767 Bi
4.131 6.380 12.370 Bi
3.976 4.016 4.783 Bi
1.237 4.966 2.895 Bi
4.006 1.270 10.822 Bi
1.207 2.220 8.934 Bi
1.361 -0.145 1.347 Bi
4.113 -0.571 3.950 Bi
5.236 6.687 8.186 O
5.403 -0.587 11.321 O
5.102 5.882 4.503 O
5.497 6.747 1.823 O
2.532 6.289 7.918 O
2.572 5.242 13.404 O
3.201 5.486 10.677 O
2.140 4.986 4.992 O
3.453 4.282 2.600 O
5.245 4.612 12.603 O
0.508 4.187 9.476 O
4.779 4.133 6.672 O
5.424 3.817 0.801 O
0.165 3.151 3.912 O
2.935 3.084 9.805 O
2.654 2.418 12.916 O
2.009 2.102 7.045 O
3.278 2.048 4.241 O
2.476 1.624 1.114 O
0.683 1.953 11.117 O
4.910 1.249 8.725 O
0.431 0.750 3.040 O
5.342 0.994 0.313 O
5.301 -0.053 5.799 O
2.727 -0.511 11.894 O
2.332 0.353 9.214 O
2.634 6.822 2.396 O
2.466 -0.452 5.531 O
```

DFT (SCAN) results for a PBEsol-optimized structure of ZnBi2O6.

Output
Its magnetic moment is 0.00 μB/cell. The formation energy (no corrections) is -77.9 kJ/mol of atoms. For the total energy, the calculation gives -23.925 eV/atom. Its density of states at the Fermi level is 6.47 states/eV/f.u.

POSCAR file:
```
ZnBi2O6
1.0
5.339 0.000 0.000
0.000 5.763 0.000
0.000 0.000 7.893
Zn Bi O
2 4 12
Cartesian
2.468 3.873 3.947 Zn
5.137 1.889 0.000 Zn
2.619 1.386 5.905 Bi
5.288 4.376 5.934 Bi
5.288 4.376 1.959 Bi
2.619 1.386 1.988 Bi
1.804 5.292 2.544 O
4.473 0.470 1.403 O
1.139 2.765 5.247 O
3.809 2.998 6.592 O
3.809 2.998 1.301 O
1.139 2.765 2.646 O
4.473 0.470 6.490 O
1.804 5.292 5.349 O
4.386 4.564 3.947 O
1.716 1.199 0.000 O
3.325 1.886 3.947 O
0.655 3.877 0.000 O
```

DFT (SCAN) results for a PBEsol-optimized structure of ZnBi2O4.

Output
Its magnetic moment is 0.00 μB/cell. The formation energy (no corrections) is -116.7 kJ/mol of atoms. For the total energy, the calculation gives -29.152 eV/atom. Its density of states at the Fermi level is 0.00 states/eV/f.u.

POSCAR file:
```
ZnBi2O4
1.0
3.413 -0.023 -0.017
-1.664 6.328 -0.014
-1.676 -2.524 9.593
Zn Bi O
2 4 8
Cartesian
1.727 -0.335 7.174 Zn
-1.654 4.117 2.387 Zn
-1.658 3.645 5.614 Bi
0.020 1.744 0.827 Bi
0.054 2.038 8.734 Bi
1.732 0.137 3.947 Bi
0.014 -0.236 2.554 O
-1.662 1.663 7.341 O
1.735 2.118 2.221 O
0.059 4.018 7.008 O
0.049 4.290 3.862 O
0.042 -0.138 8.666 O
0.024 -0.509 5.700 O
0.032 3.919 0.895 O
```

DFT (SCAN) results for a PBEsol-optimized structure of ZnBiO2.

Output
Its magnetic moment is 0.00 μB/cell. The formation energy (no corrections) is -87.3 kJ/mol of atoms. For the total energy, the calculation gives -27.044 eV/atom. Its density of states at the Fermi level is 2.01 states/eV/f.u.

POSCAR file:
```
ZnBiO2
1.0
5.195 0.000 0.000
-2.597 5.310 0.031
0.000 2.515 4.546
Zn Bi O
2 2 4
Cartesian
0.000 3.284 1.152 Zn
2.597 1.257 2.273 Zn
2.597 4.541 3.425 Bi
0.000 0.000 0.000 Bi
0.936 4.925 1.728 O
-0.936 6.183 4.001 O
3.896 2.724 2.532 O
1.299 1.817 0.893 O
```

DFT (SCAN) results for a PBEsol-optimized structure of Zr2Bi2O7.

Output
Its magnetic moment is 0.00 μB/cell. The formation energy (no corrections) is -242.5 kJ/mol of atoms. For the total energy, the calculation gives -26.348 eV/atom. Its density of states at the Fermi level is 0.00 states/eV/f.u.

POSCAR file:
```
Zr2Bi2O7
1.0
-2.662 4.721 5.251
-5.450 -2.269 4.700
1.557 -1.196 7.286
Zr Bi O
4 4 14
Cartesian
-2.766 -1.576 8.148 Zr
-1.372 1.919 8.423 Zr
-4.097 0.785 10.773 Zr
-4.875 1.383 7.130 Zr
-3.545 -0.978 4.504 Bi
-0.041 -0.441 5.798 Bi
-2.150 2.517 4.780 Bi
-0.819 0.157 2.155 Bi
-6.942 1.705 13.486 O
-1.252 -0.136 8.060 O
-3.019 2.342 7.208 O
-4.188 -0.586 6.977 O
0.000 0.000 0.000 O
-2.367 1.841 10.260 O
-5.303 1.392 9.177 O
-3.536 -1.087 10.029 O
-2.891 0.177 12.370 O
-4.658 2.656 11.517 O
-4.006 2.155 14.570 O
-5.827 -0.272 11.286 O
-5.174 -0.773 14.339 O
-1.639 0.314 4.309 O
```

DFT (SCAN) results for a PBEsol-optimized structure of Zr2BiO2.

Output
Its magnetic moment is 0.00 μB/cell. The formation energy (no corrections) is -231.0 kJ/mol of atoms. For the total energy, the calculation gives -32.882 eV/atom. Its density of states at the Fermi level is 1.32 states/eV/f.u.

POSCAR file:
```
Zr2BiO2
1.0
-1.257 -0.357 -3.502
3.506 0.199 -1.279
-0.652 -5.601 2.799
Zr Bi O
2 1 2
Cartesian
0.328 -3.949 0.284 Zr
1.269 -1.810 -2.265 Zr
0.000 0.000 0.000 Bi
1.989 -2.740 -0.435 O
-0.392 -3.018 -1.546 O
```

- Look up the formation energy (no corrections) of the first one.
  -239.7 kJ/mol of atoms

Repeat the fourth record exactly.
DFT (SCAN) results for a PBEsol-optimized structure of ZnBi2O6.

Output
Its magnetic moment is 0.00 μB/cell. The formation energy (no corrections) is -77.9 kJ/mol of atoms. For the total energy, the calculation gives -23.925 eV/atom. Its density of states at the Fermi level is 6.47 states/eV/f.u.

POSCAR file:
```
ZnBi2O6
1.0
5.339 0.000 0.000
0.000 5.763 0.000
0.000 0.000 7.893
Zn Bi O
2 4 12
Cartesian
2.468 3.873 3.947 Zn
5.137 1.889 0.000 Zn
2.619 1.386 5.905 Bi
5.288 4.376 5.934 Bi
5.288 4.376 1.959 Bi
2.619 1.386 1.988 Bi
1.804 5.292 2.544 O
4.473 0.470 1.403 O
1.139 2.765 5.247 O
3.809 2.998 6.592 O
3.809 2.998 1.301 O
1.139 2.765 2.646 O
4.473 0.470 6.490 O
1.804 5.292 5.349 O
4.386 4.564 3.947 O
1.716 1.199 0.000 O
3.325 1.886 3.947 O
0.655 3.877 0.000 O
```

What did the second record say?
DFT (SCAN) results for a PBEsol-optimized structure of YBi12O20.

Output
Its magnetic moment is 0.00 μB/cell. The formation energy (no corrections) is -123.5 kJ/mol of atoms. For the total energy, the calculation gives -34.474 eV/atom. Its density of states at the Fermi level is 16.91 states/eV/f.u.

POSCAR file:
```
YBi12O20
1.0
8.757 0.000 0.000
-2.919 8.256 0.000
-2.919 -4.128 7.150
Y Bi O
1 12 20
Cartesian
0.000 0.000 0.000 Y
-0.852 2.728 2.297 Bi
-2.046 -0.790 5.910 Bi
0.042 2.207 5.936 Bi
2.961 -2.116 6.093 Bi
0.873 -0.595 3.511 Bi
-2.982 4.234 4.853 Bi
5.880 -0.091 2.271 Bi
-0.063 6.214 1.057 Bi
2.067 4.753 3.639 Bi
4.986 4.903 1.214 Bi
2.856 1.936 1.240 Bi
3.792 1.385 4.879 Bi
0.958 1.355 2.347 O
-0.766 0.387 4.391 O
2.190 3.097 5.365 O
-0.594 3.544 4.440 O
-2.299 4.750 2.710 O
-0.729 -1.031 1.785 O
-0.729 2.061 0.000 O
-2.179 1.696 6.301 O
5.883 0.000 0.000 O
2.325 6.201 1.860 O
0.620 4.100 1.682 O
2.153 0.131 5.289 O
0.740 -2.176 5.468 O
-1.961 -2.773 4.803 O
-1.961 5.546 0.000 O
5.244 2.639 0.849 O
2.186 0.000 0.000 O
3.659 0.481 2.531 O
5.072 -0.518 4.619 O
3.539 3.535 2.758 O
```